1.
The following is a DFT calculation (PBE) of a relaxed structure of BaPmAg2Se4.

```
BaPmAg2Se4
1.0
-2.8752 5.0165 -4.6387
-3.2089 -1.6346 -5.7017
-6.5177 1.7313 -0.0107
Se Ba Ag Pm
4 1 2 1
direct
0.9231 0.5109 0.0767
0.4892 0.0767 0.5109
0.0769 0.9233 0.4891
0.5108 0.4891 0.9233
0.0000 0.0000 0.0000
0.7478 0.7522 0.7522
0.2522 0.2478 0.2478
0.5000 0.5000 0.5000
```

Formation energy from raw total energies, kJ/mol of atoms: -101.81
DOS at the Fermi energy, states/eV/cell: 3.1
Total energy, eV/cell: -34.76

=====

2.
The following is a DFT calculation (PBE) of a relaxed structure of Fe4Rh3.

```
Fe4Rh3
1.0
2.9169 0.0000 0.0000
0.0000 2.9169 0.0000
1.4584 1.4584 10.8532
Fe Rh
4 3
direct
0.1374 0.1374 0.7253
0.4277 0.4277 0.1446
0.5723 0.5723 0.8554
0.8626 0.8626 0.2747
0.2931 0.2931 0.4138
0.0000 0.0000 0.0000
0.7069 0.7069 0.5862
```

Energy relative to the lowest polymorph listed for this composition, meV/atom: 0
Formation enthalpy at 0 K, eV/atom: -0.01
DOS at the Fermi energy, states/eV/cell: 8.0
Total energy, eV/cell: -55.98